1.
DFT (PBE) results for a geometry-optimized Sr3Sb4Pb2 structure.

Cell and atoms, written as POSCAR:
```
Sr3Sb4Pb2
1.0
4.8353 0.0000 0.0000
-0.0006 7.8247 0.0000
-2.4144 -1.9454 8.3655
Sr Sb Pb
3 4 2
direct
0.0000 0.0000 0.0000
0.1261 0.5576 0.2523
0.8739 0.4424 0.7477
0.2346 0.2537 0.4685
0.4984 0.3093 0.9967
0.5016 0.6907 0.0033
0.7654 0.7463 0.5315
0.3363 0.9745 0.6731
0.6637 0.0255 0.3269
```

Computed properties:
Formation energy without anion corrections: -608 meV per atom
E_tot: -3.83 eV/atom


2.
DFT (PBE) results for a geometry-optimized SrTl2Sb2Pb structure.

Cell and atoms, written as POSCAR:
```
SrTl2Sb2Pb
1.0
4.9656 0.0000 0.0000
0.0000 10.6353 0.0000
0.0000 0.0000 7.8014
Sr Tl Sb Pb
2 4 4 2
direct
0.0000 0.0919 0.0000
0.0000 0.9081 0.5000
0.0000 0.3184 0.3528
0.0000 0.6816 0.8528
0.5000 0.4396 0.0661
0.5000 0.5604 0.5661
0.0000 0.3676 0.7575
0.0000 0.6324 0.2575
0.5000 0.0925 0.2950
0.5000 0.9075 0.7950
0.5000 0.1968 0.6672
0.5000 0.8032 0.1672
```

Computed properties:
Formation energy without anion corrections: -312 meV per atom
E_tot: -3.37 eV/atom


3.
DFT (PBE) results for a geometry-optimized SrTlSb2Pb structure.

Cell and atoms, written as POSCAR:
```
SrTlSb2Pb
1.0
8.6449 -2.5806 0.0000
8.6449 2.5806 0.0000
-5.2773 0.0000 8.0365
Sr Tl Sb Pb
2 2 4 2
direct
0.2497 0.2497 0.2269
0.7503 0.7503 0.7731
0.0693 0.0693 0.7264
0.9307 0.9307 0.2736
0.1465 0.1465 0.4860
0.3766 0.3766 0.0472
0.6234 0.6234 0.9528
0.8535 0.8535 0.5140
0.4095 0.4095 0.7455
0.5905 0.5905 0.2545
```

Computed properties:
Formation energy without anion corrections: -348 meV per atom
E_tot: -3.55 eV/atom


The evaluated magnetic moment for the records listed, in turn: 0.00, 0.00, 0.00 μB per cell.